# 1
Computed, not measured: a PBEsol-optimized structure of Sr2LiIn at the meta-GGA SCAN level of DFT.

Unit cell a=4.195 b=5.262 c=6.630 alpha=90.00 beta=108.45 gamma=90.00
Fractional positions:
1 Sr 0.102 0.000 0.204
2 Sr 0.397 0.500 0.795
3 In 0.818 0.000 0.635
4 Li 0.696 0.500 0.392

Values from the calculation:
energy of formation: -28.1 kJ/mol of atoms
symmetry: Amm2 (38)
uncorrected energy: -0.7487 Ha/atom

# 2
Computed, not measured: a PBEsol-optimized structure of LiTaIn2 at the meta-GGA SCAN level of DFT.

Unit cell a=4.213 b=4.213 c=5.156 alpha=114.11 beta=114.11 gamma=90.00
Fractional positions:
1 Ta 0.500 0.500 0.000
2 In 0.750 0.250 0.500
3 In 0.250 0.750 0.500
4 Li 0.000 0.000 0.000

Values from the calculation:
energy of formation: 16.0 kJ/mol of atoms
symmetry: I4/mmm (139)
uncorrected energy: -1.2411 Ha/atom

# 3
Computed, not measured: a PBEsol-optimized structure of Li2TaIn2 at the meta-GGA SCAN level of DFT.

Unit cell a=3.706 b=3.706 c=7.197 alpha=104.92 beta=104.92 gamma=90.00
Fractional positions:
1 Li 0.750 0.250 0.500
2 Li 0.250 0.750 0.500
3 In 0.397 0.397 0.794
4 In 0.603 0.603 0.206
5 Ta 0.000 0.000 0.000

Values from the calculation:
energy of formation: 18.9 kJ/mol of atoms
symmetry: I4/mmm (139)
uncorrected energy: -1.0081 Ha/atom

# 4
Computed, not measured: a PBEsol-optimized structure of Li2InTc at the meta-GGA SCAN level of DFT.

Unit cell a=2.760 b=2.760 c=8.864 alpha=90.00 beta=90.00 gamma=90.00
Fractional positions:
1 Tc 0.000 0.000 0.500
2 Li 0.000 0.000 0.987
3 Li 0.500 0.500 0.271
4 In 0.500 0.500 0.743

Values from the calculation:
energy of formation: 17.6 kJ/mol of atoms
symmetry: P4mm (99)
uncorrected energy: -0.6661 Ha/atom

# 5
Computed, not measured: a PBEsol-optimized structure of Li2InTc at the meta-GGA SCAN level of DFT.

Unit cell a=3.807 b=3.807 c=5.098 alpha=111.93 beta=111.93 gamma=90.00
Fractional positions:
1 In 0.000 0.000 0.000
2 Li 0.750 0.250 0.500
3 Li 0.250 0.750 0.500
4 Tc 0.500 0.500 0.000

Values from the calculation:
energy of formation: 16.7 kJ/mol of atoms
symmetry: I4/mmm (139)
uncorrected energy: -0.6664 Ha/atom

# 6
Computed, not measured: a PBEsol-optimized structure of Li2InTc at the meta-GGA SCAN level of DFT.

Unit cell a=2.674 b=2.674 c=8.955 alpha=90.00 beta=90.00 gamma=90.00
Fractional positions:
1 In 0.500 0.500 0.500
2 Li 0.000 0.000 0.234
3 Li 0.000 0.000 0.766
4 Tc 0.500 0.500 0.000

Values from the calculation:
energy of formation: 16.0 kJ/mol of atoms
symmetry: P4/mmm (123)
uncorrected energy: -0.6667 Ha/atom

# 7
Computed, not measured: a PBEsol-optimized structure of LiInTc4 at the meta-GGA SCAN level of DFT.

Unit cell a=5.118 b=5.118 c=5.118 alpha=60.00 beta=60.00 gamma=60.00
Fractional positions:
1 Li 0.000 0.000 0.000
2 In 0.250 0.250 0.250
3 Tc 0.124 0.625 0.625
4 Tc 0.625 0.124 0.625
5 Tc 0.625 0.625 0.625
6 Tc 0.625 0.625 0.124

Values from the calculation:
energy of formation: 27.6 kJ/mol of atoms
symmetry: F-43m (216)
uncorrected energy: -1.0676 Ha/atom

# 8
Computed, not measured: a PBEsol-optimized structure of LiInTc at the meta-GGA SCAN level of DFT.

Unit cell a=2.861 b=2.861 c=7.038 alpha=90.00 beta=90.00 gamma=120.00
Fractional positions:
1 Li 0.667 0.333 0.656
2 In 0.000 0.000 0.006
3 Tc 0.333 0.667 0.339

Values from the calculation:
energy of formation: 31.2 kJ/mol of atoms
symmetry: P3m1 (156)
uncorrected energy: -0.8558 Ha/atom